4
Lattice="4.978 0.000 0.000 0.000 4.978 0.000 0.000 0.000 4.908" Properties=species:S:1:pos:R:3 comment="SrTl2In (PBE, relaxed)" mass_density_g_cm3=8.34 space_group="P4/mmm (123)" formation_energy_ev_per_atom=-0.263 pbc="T T T"
Sr 0.000 0.000 0.000
Tl 0.000 2.489 2.454
Tl 2.489 0.000 2.454
In 2.489 2.489 0.000

4
Lattice="2.890 0.000 0.000 0.000 3.592 0.000 0.000 0.000 8.184" Properties=species:S:1:pos:R:3 comment="InOs2Pb (PBE, relaxed)" de_polymorph_kj_per_mol_atoms=0.0 mass_density_g_cm3=13.73 space_group="Pmm2 (25)" formation_energy_ev_per_atom=0.496 pbc="T T T"
In 0.000 0.000 0.000
Os 0.000 0.000 3.085
Os 1.445 1.796 1.927
Pb 1.445 1.796 5.220

5
Lattice="3.781 0.000 0.000 0.000 3.781 0.000 0.000 0.000 3.781" Properties=species:S:1:pos:R:3 comment="InNiN3 (PBE, relaxed)" mass_density_g_cm3=6.62 space_group="Pm-3m (221)" e_form_raw_mev_per_atom=1422.2 pbc="T T T"
In 0.000 0.000 0.000
Ni 1.890 1.890 1.890
N 0.000 1.890 1.890
N 1.890 0.000 1.890
N 1.890 1.890 0.000

10
Lattice="4.300 -6.393 0.000 4.300 6.393 0.000 -4.255 0.000 6.367" Properties=species:S:1:pos:R:3 comment="CaLa3Ir (PBE, relaxed)" de_polymorph_kj_per_mol_atoms=0.6 mass_density_g_cm3=6.16 space_group="Cc (9)" formation_energy_ev_per_atom=-0.344 pbc="T T T"
Ca 2.173 6.129 3.184
Ca 4.300 -6.129 0.000
La 2.162 3.478 0.660
La 1.358 0.348 3.801
La 5.708 2.830 0.034
La 3.486 -0.348 0.617
La 0.034 -3.478 3.843
La 3.580 -2.830 3.217
Ir -1.266 1.692 5.147
Ir 0.862 -1.692 1.963